Entry 1:
{
  "formula": "BAsC2",
  "functional": "GGA-PBE",
  "state": "optimized geometry",
  "dos_ef_per_ev_cell": 0.00,
  "energy_ha_per_atom": -0.247,
  "spacegroup": "No. 1",
  "delta_e_f_kj_per_mol_atoms": 70.0,
  "lattice_angstrom": [[-1.0585, -2.9299, -1.5559], [4.0332, 0.3571, -0.2645], [-1.1864, -1.8004, 5.1344]],
  "species": ["As", "B", "C", "C"],
  "frac_coords": [[0.4162, 0.9114, 0.6705], [0.9142, 0.0088, 0.4585], [0.9242, 0.6258, 0.3396], [0.0068, 0.3712, 0.3999]]
}


Entry 2:
{
  "formula": "BaCaLaTl",
  "functional": "GGA-PBE",
  "state": "optimized geometry",
  "dos_ef_per_ev_cell": 4.17,
  "energy_ha_per_atom": -0.106,
  "spacegroup": "No. 216",
  "delta_e_f_kj_per_mol_atoms": -8.7,
  "lattice_angstrom": [[-2.5210, 0.3026, 5.4151], [-4.4657, -3.7120, 1.4312], [0.9081, -4.3798, 3.9704]],
  "species": ["Tl", "La", "Ba", "Ca"],
  "frac_coords": [[0.0000, 0.0000, 0.0000], [0.7500, 0.7500, 0.7500], [0.2500, 0.2500, 0.2500], [0.5000, 0.5000, 0.5000]]
}